[1]
Compound: Ca2TaNi
Source: Alexandria via LeMat-Bulk
Functional: SCAN
Structure: single point on PBEsol structure

Values from the calculation:
- ρ: 6.7 Mg/m³
- Relative energy among the computed polymorphs: 1.99 eV/f.u.
- E: -24.69 eV per atom
- Energy of formation: 3.3 eV per formula unit

```
Ca2TaNi
1.0
-2.8112 2.2139 -1.8629
-2.2172 0.0203 3.3702
2.2487 4.0795 1.4548
Ca Ni Ta
2 1 1
Cartesian
-1.4056 1.1070 -0.9314 Ca
-1.1086 0.0102 1.6851 Ca
-1.3899 3.1569 1.4811 Ni
1.1244 2.0398 0.7274 Ta
```


[2]
Compound: CaTaNi2
Source: Alexandria via LeMat-Bulk
Functional: SCAN
Structure: single point on PBEsol structure

Values from the calculation:
- ρ: 8.3 Mg/m³
- Relative energy among the computed polymorphs: 0.17 eV/f.u.
- E: -26.89 eV per atom
- Energy of formation: 1.0 eV per formula unit

```
CaTaNi2
1.0
3.1614 0.0000 0.0000
0.0000 3.1614 0.0000
0.0000 0.0000 6.8077
Ni Ta Ca
2 1 1
Cartesian
0.0000 0.0000 0.4251 Ni
1.5807 1.5807 1.6350 Ni
0.0000 0.0000 2.7987 Ta
1.5807 1.5807 5.3528 Ca
```